Density functional theory data (PBE-GGA) for a relaxed structure of ZrCu2As.

Space group: No. 123

a = 3.841 Å, b = 3.841 Å, c = 4.289 Å
α = 90.00°, β = 90.00°, γ = 90.00°
Sites, in units of the cell vectors:
Cu 0.500 0.500 0.000
Zr 0.500 0.000 0.500
Cu 0.000 0.000 0.000
As 0.000 0.500 0.500

=====

Density functional theory data (PBE-GGA) for a relaxed structure of ZrCuAs4.

Space group: No. 216

a = 5.448 Å, b = 5.448 Å, c = 5.448 Å
α = 60.00°, β = 60.00°, γ = 60.00°
Sites, in units of the cell vectors:
As 0.376 0.873 0.376
As 0.873 0.376 0.376
Zr 0.000 0.000 0.000
As 0.376 0.376 0.873
As 0.376 0.376 0.376
Cu 0.750 0.750 0.750

=====

Density functional theory data (PBE-GGA) for a relaxed structure of ZrCu2As.

Space group: No. 160

a = 7.784 Å, b = 7.784 Å, c = 7.784 Å
α = 24.03°, β = 24.03°, γ = 24.03°
Sites, in units of the cell vectors:
Zr 0.503 0.503 0.503
Cu 0.998 0.998 0.998
Cu 0.258 0.258 0.258
As 0.741 0.741 0.741

=====

Number 1: energy of formation from the pure elements -0.3479 eV per atom, VASP energy -5.70 eV/atom. Number 2: energy of formation from the pure elements 0.2628 eV per atom, VASP energy -4.94 eV/atom. Number 3: energy of formation from the pure elements 0.0634 eV per atom, VASP energy -5.28 eV/atom.